[1]
Compound: Na4Y3TiO8
Source: Alexandria
Functional: PBE
Structure: relaxed

Geometry as extended XYZ:
```
16
Lattice="6.6931 0.0000 0.0000 0.0000 6.7651 0.0501 -3.3466 -3.3392 4.7404" Properties=species:S:1:pos:R:3 pbc="T T T"
O -1.7796 1.4898 4.6885
O 1.5670 1.9361 0.1021
O 1.7796 1.4898 4.6885
O 0.0000 0.1790 2.4952
O 3.3466 3.2469 2.2953
O 5.1261 1.9361 0.1021
O 0.0000 3.2724 2.2394
O 3.3466 0.1535 2.5511
Na -1.6733 -1.6696 2.3702
Na 1.6733 -1.6696 2.3702
Na 3.3466 0.0000 0.0000
Na 0.0000 0.0000 0.0000
Y -1.6733 1.7129 2.3953
Y 1.6733 1.7129 2.3953
Y 3.3466 3.3825 0.0250
Ti 0.0000 3.3825 0.0250
```

Values from the calculation:
As for the symmetry: C2/m. The value obtained for the formation energy from raw total energies is -2.64 eV per atom. Its final energy is -7.150 eV per atom. Its total magnetic moment is 1.0 μB per cell.

[2]
Compound: Na3TiZn2O6
Source: Alexandria
Functional: PBE
Structure: relaxed

Geometry as extended XYZ:
```
12
Lattice="5.3359 -0.0095 0.0023 -2.6749 4.6171 0.0023 -0.8853 -1.5329 5.4250" Properties=species:S:1:pos:R:3 pbc="T T T"
O 1.6754 0.0029 1.1089
O 0.1004 3.0718 4.3207
O 2.6105 1.6221 4.3207
O 1.8307 3.1699 1.1137
O -0.8347 1.4526 1.1089
O -0.0550 -0.0952 4.3159
Na 3.5178 0.0185 2.7148
Na 0.8879 1.5373 2.7148
Na -1.7420 3.0562 2.7148
Ti 0.0000 0.0000 0.0000
Zn 2.6632 1.5341 0.0023
Zn -0.0021 3.0735 0.0023
```

Values from the calculation:
As for the symmetry: C2/m. The value obtained for the formation energy from raw total energies is -1.79 eV per atom. Its final energy is -5.465 eV per atom. Its total magnetic moment is 1.1 μB per cell.

[3]
Compound: NaTi2ZnO6
Source: Alexandria
Functional: PBE
Structure: relaxed

Geometry as extended XYZ:
```
20
Lattice="6.1889 0.0278 0.0289 2.0323 6.9443 -0.6493 2.0323 -0.9063 6.9154" Properties=species:S:1:pos:R:3 pbc="T T T"
O 4.6271 5.8421 4.7537
O 5.1406 5.4347 1.9969
O 8.2350 1.8080 5.5194
O 4.4068 2.7004 2.0726
O 2.7522 4.0808 3.5052
O 7.7215 4.5478 6.0287
O 5.6265 0.2238 1.5413
O 2.0185 4.2578 0.7756
O 5.8467 3.3655 4.2224
O 5.1129 0.6311 4.2981
O 7.5013 1.9850 2.7898
O 2.5320 1.5180 0.2663
Zn 6.6740 5.4612 0.8215
Zn 3.5795 0.6046 5.4735
Na 3.5795 6.1279 0.1512
Na 6.6740 -0.0621 6.1438
Ti 4.5953 4.5589 3.4746
Ti 5.6582 1.5069 2.8204
Ti 2.5638 2.7487 1.5960
Ti 7.6898 3.3171 4.6990
```

Values from the calculation:
As for the symmetry: C2/c. The value obtained for the formation energy from raw total energies is -2.26 eV per atom. Its final energy is -7.076 eV per atom. Its total magnetic moment is 2.1 μB per cell.

[4]
Compound: Na2TiZnO4
Source: Alexandria
Functional: PBE
Structure: relaxed

Geometry as extended XYZ:
```
8
Lattice="-4.0927 -0.4784 -3.8313 4.7112 -3.0718 0.1595 -0.2643 -1.8184 5.3180" Properties=species:S:1:pos:R:3 pbc="T T T"
Na 1.4210 -2.9977 -0.4665
Na 0.0000 0.0000 0.0000
O -0.6693 -2.2084 0.3236
O -1.1853 -2.3187 -2.8597
O 0.3815 -1.7763 3.0794
O 2.1817 -4.4337 2.7491
Ti -1.0667 -2.3709 2.1127
Zn 2.2235 -2.4451 2.7387
```

Values from the calculation:
As for the symmetry: I-4. The value obtained for the formation energy from raw total energies is -2.18 eV per atom. Its final energy is -6.130 eV per atom. Its total magnetic moment is 0.0 μB per cell.

[5]
Compound: Na5Tl2O5
Source: Alexandria
Functional: PBE
Structure: relaxed

Geometry as extended XYZ:
```
12
Lattice="3.4141 0.0000 0.0000 -1.7070 5.5966 -0.0875 0.0000 -2.8124 9.7498" Properties=species:S:1:pos:R:3 pbc="T T T"
O 0.0000 0.0587 3.9870
O 1.7070 2.7255 5.6753
O 0.0000 0.0000 0.0000
O 0.0000 3.0510 1.8019
O 1.7070 -0.2669 7.8604
Na 1.7070 -1.4062 4.8749
Na 1.7070 1.6004 0.5506
Na 0.0000 1.1510 6.0729
Na 0.0000 1.1838 9.1117
Na 1.7070 1.6331 3.5894
Tl 1.7070 4.5973 1.9932
Tl 0.0000 -1.8132 7.6691
```

Values from the calculation:
As for the symmetry: C2/m. The value obtained for the formation energy from raw total energies is -1.09 eV per atom. Its final energy is -4.096 eV per atom. Its total magnetic moment is 0.0 μB per cell.

[6]
Compound: Na3Tl2O4
Source: Alexandria
Functional: PBE
Structure: relaxed

Geometry as extended XYZ:
```
9
Lattice="-0.4349 -2.9957 -1.7325 4.0424 -0.9695 4.1724 -9.9830 1.1651 0.4914" Properties=species:S:1:pos:R:3 pbc="T T T"
Tl -4.5070 -0.3137 1.6739
Tl -1.8685 -2.4864 1.2574
Na 0.0000 0.0000 0.0000
Na -7.6115 -1.0970 0.2966
Na 1.2360 -1.7032 2.6347
O -6.5204 -0.3951 2.3200
O -2.4032 -0.1844 0.9221
O -3.9724 -2.6158 2.0093
O 0.1448 -2.4050 0.6113
```

Values from the calculation:
As for the symmetry: C2/m. The value obtained for the formation energy from raw total energies is -1.01 eV per atom. Its final energy is -4.181 eV per atom. Its total magnetic moment is 0.0 μB per cell.

[7]
Compound: NaTl2O2
Source: Alexandria
Functional: PBE
Structure: relaxed

Geometry as extended XYZ:
```
10
Lattice="-2.4562 -4.3870 4.6766 5.9894 -0.9154 -2.6513 2.0267 6.0360 1.7885" Properties=species:S:1:pos:R:3 pbc="T T T"
O 4.1647 -1.9764 0.8460
O 1.3952 2.7099 2.9678
O 2.6739 -3.8810 2.4975
O 2.8860 4.6146 1.3163
Tl 1.7666 -2.6512 1.0127
Tl 2.7800 0.3668 1.9069
Tl 1.0134 3.0180 0.8943
Tl 4.0080 2.5603 -0.4314
Na 0.4426 2.2932 5.0069
Na 5.1173 -1.5596 -1.1931
```

Values from the calculation:
As for the symmetry: C2/c. The value obtained for the formation energy from raw total energies is -0.55 eV per atom. Its final energy is -3.742 eV per atom. Its total magnetic moment is 0.0 μB per cell.

[8]
Compound: Na14Tl2O9
Source: Alexandria
Functional: PBE
Structure: relaxed

Geometry as extended XYZ:
```
25
Lattice="6.9913 0.0000 0.0000 -3.4956 6.0546 0.0000 0.0000 0.0000 9.5776" Properties=species:S:1:pos:R:3 pbc="T T T"
O -1.2474 5.8579 3.2660
O 3.4956 2.0182 9.4155
O 0.0000 0.0000 0.0000
O 2.2012 4.2059 3.2660
O 4.7430 0.1967 6.3116
O -0.9538 2.0454 3.2660
O 0.0000 4.0364 0.1622
O 4.4494 4.0092 6.3116
O 1.2945 1.8487 6.3116
Na 1.9576 4.1585 5.6489
Na 4.3687 3.7746 3.9288
Na 0.0000 0.0000 2.4420
Na -2.0689 4.1851 8.6893
Na 4.5802 0.3839 3.9288
Na 0.0000 0.0000 7.1357
Na 1.5380 1.8961 3.9288
Na 1.1632 5.7537 8.6893
Na 5.5645 1.8695 0.8883
Na 2.5900 3.8842 0.8883
Na -1.0845 5.6707 5.6489
Na 2.3324 0.3009 0.8883
Na -0.8731 2.2800 5.6489
Na 0.9056 2.1704 8.6893
Tl 3.4956 2.0182 7.1069
Tl 0.0000 4.0364 2.4708
```

Values from the calculation:
As for the symmetry: P-3. The value obtained for the formation energy from raw total energies is -1.13 eV per atom. Its final energy is -3.844 eV per atom. Its total magnetic moment is 0.0 μB per cell.